[1]
{
  "formula": "SrCdMo2",
  "functional": "PBE",
  "state": "optimized geometry",
  "cell": [[-4.2781, 0.3243, -2.3670], [-0.1341, -0.3892, -4.8827], [-1.9527, -3.9797, -2.0879]],
  "species": ["Cd", "Mo", "Sr", "Mo"],
  "frac_coords": [[0.5000, 0.5000, 0.5000], [0.2500, 0.2500, 0.2500], [0.7500, 0.7500, 0.7500], [0.0000, 0.0000, 0.0000]],
  "polymorph_energy_mev_per_atom": 488
}


[2]
{
  "formula": "SrCdMo2",
  "functional": "PBE",
  "state": "optimized geometry",
  "cell": [[3.3420, 0.0000, 0.0000], [0.0000, 3.3406, 0.0018], [0.0000, 3.0599, 8.0956]],
  "species": ["Mo", "Cd", "Mo", "Sr"],
  "frac_coords": [[0.0000, 0.9986, 0.0357], [0.5000, 0.7014, 0.8017], [0.5000, 0.3003, 0.1807], [0.0000, 0.4997, 0.4819]],
  "polymorph_energy_mev_per_atom": 0
}


[3]
{
  "formula": "SrCd2Mo",
  "functional": "PBE",
  "state": "optimized geometry",
  "cell": [[-2.4459, 0.3887, 1.9399], [0.6251, -3.8190, 1.5535], [4.3721, 2.7350, 4.9645]],
  "species": ["Cd", "Mo", "Cd", "Sr"],
  "frac_coords": [[0.0000, 0.0000, 0.0500], [0.5000, 0.5000, 0.2500], [0.0000, 0.0000, 0.4500], [0.5000, 0.5000, 0.7500]],
  "polymorph_energy_mev_per_atom": 0
}


[4]
{
  "formula": "SrCdMo4",
  "functional": "PBE",
  "state": "optimized geometry",
  "cell": [[0.0000, 3.8948, 3.8948], [3.8948, 0.0000, 3.8948], [3.8948, 3.8948, 0.0000]],
  "species": ["Mo", "Mo", "Cd", "Sr", "Mo", "Mo"],
  "frac_coords": [[0.8738, 0.3754, 0.3754], [0.3754, 0.3754, 0.8738], [0.0000, 0.0000, 0.0000], [0.7500, 0.7500, 0.7500], [0.3754, 0.8738, 0.3754], [0.3754, 0.3754, 0.3754]]
}


[5]
{
  "formula": "SrCdMo2",
  "functional": "PBE",
  "state": "optimized geometry",
  "cell": [[5.8078, 0.0144, 0.0117], [5.1137, 2.7533, 0.0117], [1.2566, 0.3185, 5.2257]],
  "species": ["Sr", "Mo", "Cd", "Mo"],
  "frac_coords": [[0.7500, 0.7500, 0.7500], [0.9810, 0.9810, 0.0216], [0.2500, 0.2500, 0.2500], [0.5190, 0.5190, 0.4784]],
  "polymorph_energy_mev_per_atom": 517
}


[6]
{
  "formula": "Sr2CdMo",
  "functional": "PBE",
  "state": "optimized geometry",
  "cell": [[5.5131, 0.0000, 0.0000], [2.7566, 4.7745, 0.0000], [2.7566, 1.5915, 4.5015]],
  "species": ["Sr", "Cd", "Sr", "Mo"],
  "frac_coords": [[0.0000, 0.0000, 0.0000], [0.5000, 0.5000, 0.5000], [0.2500, 0.2500, 0.2500], [0.7500, 0.7500, 0.7500]],
  "polymorph_energy_mev_per_atom": 163
}


[7]
{
  "formula": "SrCdMo2",
  "functional": "PBE",
  "state": "optimized geometry",
  "cell": [[4.2410, 0.0000, 0.0000], [0.0000, 4.2410, 0.0000], [2.1205, 2.1205, 10.6224]],
  "species": ["Cd", "Mo", "Mo", "Sr", "Sr", "Mo", "Mo", "Cd"],
  "frac_coords": [[0.7500, 0.2500, 0.5000], [0.0374, 0.6250, 0.2500], [0.7126, 0.1250, 0.2500], [0.2500, 0.7500, 0.5000], [0.5000, 0.5000, 0.0000], [0.3750, 0.2874, 0.7500], [0.8750, 0.9626, 0.7500], [0.0000, 0.0000, 0.0000]],
  "polymorph_energy_mev_per_atom": 692
}


[8]
{
  "formula": "SrCd2Mo",
  "functional": "PBE",
  "state": "optimized geometry",
  "cell": [[-0.7408, 1.2687, 2.6634], [-2.7186, 0.7750, -1.1230], [-3.7140, -8.5935, 3.0604]],
  "species": ["Cd", "Sr", "Cd", "Mo"],
  "frac_coords": [[0.5000, 0.5000, 0.2649], [0.5000, 0.5000, 0.7383], [0.0000, 0.0000, 0.0210], [0.0000, 0.0000, 0.4757]],
  "polymorph_energy_mev_per_atom": 98
}


Number 1: energy of formation from the pure elements 853 meV/atom, magnetic moment 1.2 μB per cell, total DFT energy (no corrections) -5.2119 eV per atom. Number 2: energy of formation from the pure elements 365 meV/atom, magnetic moment 0.0 μB per cell, total DFT energy (no corrections) -5.6999 eV per atom. Number 3: energy of formation from the pure elements 393 meV/atom, magnetic moment 0.8 μB per cell, total DFT energy (no corrections) -3.1925 eV per atom. Number 4: energy of formation from the pure elements 647 meV/atom, magnetic moment 0.0 μB per cell, total DFT energy (no corrections) -7.0066 eV per atom. Number 5: energy of formation from the pure elements 882 meV/atom, magnetic moment 0.0 μB per cell, total DFT energy (no corrections) -5.1826 eV per atom. Number 6: energy of formation from the pure elements 712 meV/atom, magnetic moment 3.5 μB per cell, total DFT energy (no corrections) -3.0658 eV per atom. Number 7: energy of formation from the pure elements 1056 meV/atom, magnetic moment 0.0 μB per cell, total DFT energy (no corrections) -5.0084 eV per atom. Number 8: energy of formation from the pure elements 491 meV/atom, magnetic moment 0.0 μB per cell, total DFT energy (no corrections) -3.0948 eV per atom.